No. 1
A plane-wave DFT calculation with GGA-PBE was carried out for a relaxed structure of Ce2CdPt3.

Unit cell a=7.5340 b=3.8496 c=17.7739 alpha=90.00 beta=90.00 gamma=90.00
Closest atoms and distances in Å follow each position.
Fractional positions:
Ce1 0.1098 0.2500 0.2136  9 Pt 2.97-3.31
Ce2 0.1503 0.2500 0.4287  7 Pt 2.82-3.06
Ce3 0.3497 0.7500 0.9287  7 Pt 2.82-3.06
Ce4 0.3902 0.7500 0.7136  9 Pt 2.97-3.31
Ce5 0.6098 0.2500 0.2864  9 Pt 2.97-3.31
Ce6 0.6503 0.2500 0.0713  7 Pt 2.82-3.06
Ce7 0.8497 0.7500 0.5713  7 Pt 2.82-3.06
Ce8 0.8902 0.7500 0.7864  9 Pt 2.97-3.31
Cd1 0.0172 0.7500 0.0627  4 Pt 2.77-3.00, 2 Cd 2.96
Cd2 0.4828 0.2500 0.5627  4 Pt 2.77-3.00, 2 Cd 2.96
Cd3 0.5172 0.7500 0.4373  4 Pt 2.77-3.00, 2 Cd 2.96
Cd4 0.9828 0.2500 0.9373  4 Pt 2.77-3.00, 2 Cd 2.96
Pt1 0.0825 0.2500 0.6587  4 Pt 2.85-2.94, 4 Ce 3.03-3.17
Pt2 0.1981 0.2500 0.8112  1 Cd 2.77, 2 Pt 2.85-2.94, 6 Ce 2.97-3.06
Pt3 0.2200 0.7500 0.5501  3 Cd 2.77-3.00, 3 Ce 2.82-2.94, 2 Pt 2.92
Pt4 0.2800 0.2500 0.0501  3 Cd 2.77-3.00, 3 Ce 2.82-2.94, 2 Pt 2.92
Pt5 0.3019 0.7500 0.3112  1 Cd 2.77, 2 Pt 2.85-2.94, 6 Ce 2.97-3.06
Pt6 0.4175 0.7500 0.1587  4 Pt 2.85-2.94, 4 Ce 3.03-3.17
Pt7 0.5825 0.2500 0.8413  4 Pt 2.85-2.94, 4 Ce 3.03-3.17
Pt8 0.6981 0.2500 0.6888  1 Cd 2.77, 2 Pt 2.85-2.94, 6 Ce 2.97-3.06
Pt9 0.7200 0.7500 0.9499  3 Cd 2.77-3.00, 3 Ce 2.82-2.94, 2 Pt 2.92
Pt10 0.7800 0.2500 0.4499  3 Cd 2.77-3.00, 3 Ce 2.82-2.94, 2 Pt 2.92
Pt11 0.8019 0.7500 0.1888  1 Cd 2.77, 2 Pt 2.85-2.94, 6 Ce 2.97-3.06
Pt12 0.9175 0.7500 0.3413  4 Pt 2.85-2.94, 4 Ce 3.03-3.17

Properties
Formation energy from the elements (eV per atom): -0.9104
N(E_F) (states/eV/f.u.): 9.12
ρ (Mg/m³): 12.600
Total magnetic moment (μB per cell): 2.439
Total energy (eV/atom): -6.061
Space-group type: Pnma, No. 62

***

No. 2
A plane-wave DFT calculation with GGA-PBE was carried out for a relaxed structure of Ba3In2Pd4Pb2.

Unit cell a=4.8286 b=4.8286 c=16.2393 alpha=90.00 beta=90.00 gamma=120.00
Closest atoms and distances in Å follow each position.
Fractional positions:
Ba1 0.0000 0.0000 0.0000  6 Pd 3.58, 6 In 3.63
Ba2 0.0000 0.0000 0.2818  6 Pd 3.34-3.63, 3 In 3.58, 3 Pb 3.73
Ba3 0.0000 0.0000 0.7182  6 Pd 3.34-3.63, 3 In 3.58, 3 Pb 3.73
In1 0.3333 0.6667 0.1434  3 Pd 2.79
In2 0.6667 0.3333 0.8566  3 Pd 2.79
Pd1 0.3333 0.6667 0.3951  4 Pb 2.77-2.86
Pd2 0.3333 0.6667 0.8618  3 In 2.79
Pd3 0.6667 0.3333 0.1382  3 In 2.79
Pd4 0.6667 0.3333 0.6049  4 Pb 2.77-2.86
Pb1 0.3333 0.6667 0.5660  4 Pd 2.77-2.86
Pb2 0.6667 0.3333 0.4340  4 Pd 2.77-2.86

Properties
Formation energy from the elements (eV per atom): -0.4521
N(E_F) (states/eV/f.u.): 8.17
ρ (Mg/m³): 7.504
Total magnetic moment (μB per cell): 0.000
Total energy (eV/atom): -4.037
Space-group type: P-3m1, No. 164

***

No. 3
A plane-wave DFT calculation with GGA-PBE was carried out for a relaxed structure of Pr4Sm3Dy5.

Unit cell a=8.6542 b=8.6542 c=9.4407 alpha=114.57 beta=114.57 gamma=40.59
Closest atoms and distances in Å follow each position.
Fractional positions:
Pr1 0.0842 0.0842 0.4447  2 Pr 3.33-3.71, 1 Sm 3.44, 3 Dy 3.46-3.56
Pr2 0.2126 0.2126 0.8817  3 Sm 3.33-3.60, 3 Pr 3.62-3.71, 2 Dy 3.71
Pr3 0.7874 0.7874 0.1183  3 Sm 3.33-3.60, 3 Pr 3.62-3.71, 2 Dy 3.71
Pr4 0.9158 0.9158 0.5553  2 Pr 3.33-3.71, 1 Sm 3.44, 3 Dy 3.46-3.56
Sm1 0.2102 0.2102 0.2330  3 Dy 3.13-3.31, 2 Pr 3.33-3.44
Sm2 0.5000 0.5000 0.0000  2 Dy 3.00
Sm3 0.7898 0.7898 0.7670  3 Dy 3.13-3.31, 2 Pr 3.33-3.44
Dy1 0.0000 0.0000 0.0000  4 Sm 3.00-3.13
Dy2 0.3284 0.3284 0.6130  4 Sm 3.23-3.51, 3 Pr 3.46-3.56
Dy3 0.4287 0.4287 0.3016  2 Sm 3.31-3.52, 2 Dy 3.42-3.66, 2 Pr 3.71
Dy4 0.5713 0.5713 0.6984  2 Sm 3.31-3.52, 2 Dy 3.42-3.66, 2 Pr 3.71
Dy5 0.6716 0.6716 0.3870  4 Sm 3.23-3.51, 3 Pr 3.46-3.56

Properties
Formation energy from the elements (eV per atom): 0.2154
N(E_F) (states/eV/f.u.): 19.38
ρ (Mg/m³): 7.358
Total magnetic moment (μB per cell): 0.269
Total energy (eV/atom): -4.475
Space-group type: C2/m, No. 12

***

No. 4
A plane-wave DFT calculation with GGA-PBE was carried out for a relaxed structure of AlP2.

Unit cell a=3.3001 b=3.3001 c=10.3280 alpha=90.00 beta=90.00 gamma=90.00
Closest atoms and distances in Å follow each position.
Fractional positions:
Al1 0.0000 0.0000 0.0000  8 P 2.59
Al2 0.5000 0.5000 0.5000  8 P 2.59
P1 0.0000 0.0000 0.3919  1 P 2.23
P2 0.0000 0.0000 0.6081  1 P 2.23
P3 0.5000 0.5000 0.1081  1 P 2.23
P4 0.5000 0.5000 0.8919  1 P 2.23

Properties
Formation energy from the elements (eV per atom): 0.0864
N(E_F) (states/eV/f.u.): 0.69
ρ (Mg/m³): 2.626
Total magnetic moment (μB per cell): 0.000
Total energy (eV/atom): -4.768
Space-group type: I4/mmm, No. 139

***

No. 5
A plane-wave DFT calculation with GGA-PBE was carried out for a relaxed structure of TmPuB12.

Unit cell a=4.0953 b=4.0953 c=8.1898 alpha=90.00 beta=90.00 gamma=90.00
Closest atoms and distances in Å follow each position.
Fractional positions:
Tm1 0.0000 0.0000 0.0000  24 B 3.00-3.01
Pu1 0.0000 0.0000 0.5000  24 B 3.01-3.02
B1 0.1986 0.5000 0.2484  5 B 1.63-1.75
B2 0.1986 0.5000 0.7516  5 B 1.63-1.75
B3 0.5000 0.1986 0.2484  5 B 1.63-1.75
B4 0.5000 0.1986 0.7516  5 B 1.63-1.75
B5 0.5000 0.5000 0.0988  5 B 1.62-1.74
B6 0.5000 0.5000 0.4003  5 B 1.63-1.75
B7 0.5000 0.5000 0.5997  5 B 1.63-1.75
B8 0.5000 0.5000 0.9012  5 B 1.62-1.74
B9 0.5000 0.8014 0.2484  5 B 1.63-1.75
B10 0.5000 0.8014 0.7516  5 B 1.63-1.75
B11 0.8014 0.5000 0.2484  5 B 1.63-1.75
B12 0.8014 0.5000 0.7516  5 B 1.63-1.75

Properties
Formation energy from the elements (eV per atom): -0.3688
N(E_F) (states/eV/f.u.): 7.20
ρ (Mg/m³): 6.560
Total magnetic moment (μB per cell): 5.456
Total energy (eV/atom): -7.435
Space-group type: P4/mmm, No. 123

***

No. 6
A plane-wave DFT calculation with GGA-PBE was carried out for a relaxed structure of Nd3Y2Ni2.

Unit cell a=12.1223 b=3.7489 c=9.0088 alpha=90.00 beta=113.22 gamma=90.00
Closest atoms and distances in Å follow each position.
Fractional positions:
Nd1 0.0000 0.0000 0.0000  4 Ni 2.90
Nd2 0.1157 0.0000 0.4289  3 Ni 2.87-3.21
Nd3 0.3843 0.5000 0.5711  3 Ni 2.87-3.21
Nd4 0.5000 0.5000 0.0000  4 Ni 2.90
Nd5 0.6157 0.5000 0.4289  3 Ni 2.87-3.21
Nd6 0.8843 0.0000 0.5711  3 Ni 2.87-3.21
Y1 0.1692 0.5000 0.8090  2 Ni 2.83
Y2 0.3308 0.0000 0.1910  2 Ni 2.83
Y3 0.6692 0.0000 0.8090  2 Ni 2.83
Y4 0.8308 0.5000 0.1910  2 Ni 2.83
Ni1 0.1665 0.5000 0.2227  2 Y 2.83, 4 Nd 2.87-2.90
Ni2 0.3335 0.0000 0.7773  2 Y 2.83, 4 Nd 2.87-2.90
Ni3 0.6665 0.0000 0.2227  2 Y 2.83, 4 Nd 2.87-2.90
Ni4 0.8335 0.5000 0.7773  2 Y 2.83, 4 Nd 2.87-2.90

Properties
Formation energy from the elements (eV per atom): -0.1898
N(E_F) (states/eV/f.u.): 10.03
ρ (Mg/m³): 6.425
Total magnetic moment (μB per cell): 0.000
Total energy (eV/atom): -5.732
Space-group type: C2/m, No. 12

***

No. 7
A plane-wave DFT calculation with GGA-PBE was carried out for a relaxed structure of Nd5SmEr2Tm.

Unit cell a=10.5935 b=10.5935 c=10.7460 alpha=90.00 beta=90.00 gamma=149.15
Closest atoms and distances in Å follow each position.
Fractional positions:
Nd1 0.0156 0.9844 0.5000  2 Tm 3.27, 3 Er 3.48-3.58
Nd2 0.2807 0.7193 0.7910  1 Tm 3.08, 1 Er 3.39, 2 Nd 3.42
Nd3 0.2967 0.7033 0.1857  3 Nd 3.42-3.81, 1 Tm 3.46, 3 Sm 3.51-3.83, 3 Er 3.53-3.81
Nd4 0.3878 0.6122 0.5036  6 Nd 3.56-3.89, 4 Er 3.63-3.66, 1 Sm 3.84
Nd5 0.4823 0.5177 0.2248  2 Tm 3.24-3.38, 2 Er 3.52, 2 Nd 3.56
Nd6 0.5177 0.4823 0.7248  2 Tm 3.24-3.38, 2 Er 3.52, 2 Nd 3.56
Nd7 0.6122 0.3878 0.0036  6 Nd 3.56-3.89, 4 Er 3.63-3.66, 1 Sm 3.84
Nd8 0.7033 0.2967 0.6857  3 Nd 3.42-3.81, 1 Tm 3.46, 3 Sm 3.51-3.83, 3 Er 3.53-3.81
Nd9 0.7193 0.2807 0.2910  1 Tm 3.08, 1 Er 3.39, 2 Nd 3.42
Nd10 0.9844 0.0156 0.0000  2 Tm 3.27, 3 Er 3.48-3.58
Sm1 0.2000 0.8000 0.4909  2 Er 3.42-3.67, 7 Nd 3.51-3.83, 2 Tm 3.62
Sm2 0.8000 0.2000 0.9909  2 Er 3.42-3.67, 7 Nd 3.51-3.83, 2 Tm 3.62
Er1 0.1109 0.8891 0.2209  1 Sm 3.42, 7 Nd 3.51-3.81, 2 Tm 3.72
Er2 0.1150 0.8850 0.7914  9 Nd 3.39-3.73, 1 Sm 3.67
Er3 0.8850 0.1150 0.2914  9 Nd 3.39-3.73, 1 Sm 3.67
Er4 0.8891 0.1109 0.7209  1 Sm 3.42, 7 Nd 3.51-3.81, 2 Tm 3.72
Tm1 0.4086 0.5914 0.9437  5 Nd 3.08-3.38
Tm2 0.5914 0.4086 0.4437  5 Nd 3.08-3.38

Properties
Formation energy from the elements (eV per atom): 0.1442
N(E_F) (states/eV/f.u.): 14.40
ρ (Mg/m³): 7.384
Total magnetic moment (μB per cell): 0.000
Total energy (eV/atom): -4.540
Space-group type: Cmc2_1, No. 36

***

No. 8
A plane-wave DFT calculation with GGA-PBE was carried out for a relaxed structure of TmTh4O10.

Unit cell a=16.1409 b=16.1409 c=16.1409 alpha=14.06 beta=14.06 gamma=14.06
Closest atoms and distances in Å follow each position.
Fractional positions:
Tm1 0.0000 0.0000 0.0000  8 O 2.29-2.38
Th1 0.2007 0.2007 0.2007  8 O 2.42-2.44
Th2 0.3978 0.3978 0.3978  8 O 2.41-2.45
Th3 0.6022 0.6022 0.6022  8 O 2.41-2.45
Th4 0.7993 0.7993 0.7993  8 O 2.42-2.44
O1 0.0479 0.0479 0.0479  1 Tm 2.29, 3 Th 2.42
O2 0.1497 0.1497 0.1497  4 Th 2.42-2.44
O3 0.2516 0.2516 0.2516  4 Th 2.43-2.44
O4 0.3476 0.3476 0.3476  3 Tm 2.38, 1 Th 2.41, 3 O 2.66
O5 0.4489 0.4489 0.4489  4 Th 2.42-2.45
O6 0.5511 0.5511 0.5511  4 Th 2.42-2.45
O7 0.6524 0.6524 0.6524  3 Tm 2.38, 1 Th 2.41, 3 O 2.66
O8 0.7484 0.7484 0.7484  4 Th 2.43-2.44
O9 0.8503 0.8503 0.8503  4 Th 2.42-2.44
O10 0.9521 0.9521 0.9521  1 Tm 2.29, 3 Th 2.42

Properties
N(E_F) (states/eV/f.u.): 8.35
ρ (Mg/m³): 9.663
Total magnetic moment (μB per cell): 1.095
Raw formation energy (eV per atom): -3.66
Total energy (eV/atom): -9.243
Space-group type: R-3m, No. 166

***

No. 9
A plane-wave DFT calculation with GGA-PBE was carried out for a relaxed structure of Dy2Lu.

Unit cell a=3.5017 b=3.5017 c=14.9281 alpha=90.00 beta=90.00 gamma=90.00
Closest atoms and distances in Å follow each position.
Fractional positions:
Dy1 0.0000 0.0000 0.1658  4 Lu 3.50, 8 Dy 3.50-3.53
Dy2 0.0000 0.0000 0.8342  4 Lu 3.50, 8 Dy 3.50-3.53
Dy3 0.5000 0.5000 0.3342  4 Lu 3.50, 8 Dy 3.50-3.53
Dy4 0.5000 0.5000 0.6658  4 Lu 3.50, 8 Dy 3.50-3.53
Lu1 0.0000 0.0000 0.5000  8 Dy 3.50, 4 Lu 3.50
Lu2 0.5000 0.5000 0.0000  8 Dy 3.50, 4 Lu 3.50

Properties
Formation energy from the elements (eV per atom): 0.0258
N(E_F) (states/eV/f.u.): 4.16
ρ (Mg/m³): 9.071
Total magnetic moment (μB per cell): 0.003
Total energy (eV/atom): -4.549
Space-group type: I4/mmm, No. 139

***

No. 10
A plane-wave DFT calculation with GGA-PBE was carried out for a relaxed structure of TiPRh3.

Unit cell a=4.3573 b=4.3573 c=4.3573 alpha=90.00 beta=90.00 gamma=90.00
Closest atoms and distances in Å follow each position.
Fractional positions:
Ti1 0.0000 0.0000 0.0000  12 Rh 3.08
P1 0.5000 0.5000 0.5000  6 Rh 2.18
Rh1 0.0000 0.5000 0.5000  2 P 2.18
Rh2 0.5000 0.0000 0.5000  2 P 2.18
Rh3 0.5000 0.5000 0.0000  2 P 2.18

Properties
Formation energy from the elements (eV per atom): -0.1009
N(E_F) (states/eV/f.u.): 18.56
ρ (Mg/m³): 7.779
Total magnetic moment (μB per cell): 0.000
Total energy (eV/atom): -7.173
Space-group type: Pm-3m, No. 221